# GGA-PBE Cr2MoPt, optimized geometry
data_Cr2MoPt
_chemical_formula_sum 'Cr2 Mo1 Pt1'
_cell_length_a 2.8215
_cell_length_b 2.8215
_cell_length_c 6.8928
_cell_angle_alpha 90.00
_cell_angle_beta 90.00
_cell_angle_gamma 90.00
_symmetry_space_group_name_H-M 'P 4 m m'
_symmetry_Int_Tables_number 99
loop_
_symmetry_equiv_pos_as_xyz
'x,y,z'
'-y,x,z'
'-x,-y,z'
'y,-x,z'
'-x,y,z'
'y,x,z'
'x,-y,z'
'-y,-x,z'
loop_
_atom_site_label
_atom_site_fract_x
_atom_site_fract_y
_atom_site_fract_z
Cr1 0.0000 0.0000 0.0000
Cr2 0.5000 0.5000 0.1798
Mo1 0.0000 0.0000 0.4351
Pt1 0.5000 0.5000 0.7305
# energy of formation: -21 meV/atom
# total moment: 0.015 μB per atom
# final energy: -36.20 eV/f.u.


# GGA-PBE Er3SnSO, optimized geometry
data_Er3SnSO
_chemical_formula_sum 'Er6 Sn2 S2 O2'
_cell_length_a 8.5622
_cell_length_b 3.8588
_cell_length_c 8.7894
_cell_angle_alpha 90.00
_cell_angle_beta 103.73
_cell_angle_gamma 90.00
_symmetry_space_group_name_H-M 'P 1 21/m 1'
_symmetry_Int_Tables_number 11
loop_
_symmetry_equiv_pos_as_xyz
'x,y,z'
'-x,-y,-z'
'-x,y+1/2,-z'
'x,-y+1/2,z'
loop_
_atom_site_label
_atom_site_fract_x
_atom_site_fract_y
_atom_site_fract_z
Er1 0.0669 0.2500 0.3421
Er2 0.3316 0.2500 0.9796
Er3 0.3893 0.7500 0.6424
Sn1 0.3140 0.7500 0.2722
S1 0.1594 0.2500 0.6595
O1 0.4104 0.7500 0.9012
# formation energy from raw total energies: -1.85 eV per atom
# total moment: 0.000 μB per atom
# final energy: -37.91 eV/f.u.


# GGA-PBE La2BeCd, optimized geometry
data_La2BeCd
_chemical_formula_sum 'La4 Be2 Cd2'
_cell_length_a 11.8698
_cell_length_b 3.6509
_cell_length_c 5.2458
_cell_angle_alpha 90.00
_cell_angle_beta 116.16
_cell_angle_gamma 90.00
_symmetry_space_group_name_H-M 'C 1 m 1'
_symmetry_Int_Tables_number 8
loop_
_symmetry_equiv_pos_as_xyz
'x,y,z'
'x,-y,z'
'x+1/2,y+1/2,z'
'x+1/2,-y+1/2,z'
loop_
_atom_site_label
_atom_site_fract_x
_atom_site_fract_y
_atom_site_fract_z
La1 0.0000 0.0000 0.0000
La2 0.1937 0.0000 0.6940
Be1 0.4543 0.0000 0.4555
Cd1 0.2899 0.5000 0.2899
# excess energy over the best structure of this formula in the dataset: 0.056 eV/atom
# energy of formation: -14 meV/atom
# total moment: 0.000 μB per atom
# final energy: -14.55 eV/f.u.


# GGA-PBE Ac6SnIr2I3, optimized geometry
data_Ac6SnIr2I3
_chemical_formula_sum 'Ac12 Sn2 Ir4 I6'
_cell_length_a 7.9047
_cell_length_b 13.6992
_cell_length_c 8.9461
_cell_angle_alpha 90.00
_cell_angle_beta 107.28
_cell_angle_gamma 90.00
_symmetry_space_group_name_H-M 'C 1 2/m 1'
_symmetry_Int_Tables_number 12
loop_
_symmetry_equiv_pos_as_xyz
'x,y,z'
'-x,-y,-z'
'-x,y,-z'
'x,-y,z'
'x+1/2,y+1/2,z'
'-x+1/2,-y+1/2,-z'
'-x+1/2,y+1/2,-z'
'x+1/2,-y+1/2,z'
loop_
_atom_site_label
_atom_site_fract_x
_atom_site_fract_y
_atom_site_fract_z
Ac1 0.2007 0.0000 0.1909
Ac2 0.2461 0.3182 0.1916
Sn1 0.0000 0.5000 0.0000
Ir1 0.0000 0.1670 0.0000
I1 0.0000 0.0000 0.5000
I2 0.0000 0.3400 0.5000
# formation energy from raw total energies: -0.97 eV per atom
# total moment: 0.000 μB per atom
# final energy: -62.69 eV/f.u.


# GGA-PBE BaSmBeN2, optimized geometry
data_BaSmBeN2
_chemical_formula_sum 'Ba2 Sm2 Be2 N4'
_cell_length_a 5.3116
_cell_length_b 5.6899
_cell_length_c 6.9819
_cell_angle_alpha 90.00
_cell_angle_beta 90.00
_cell_angle_gamma 90.00
_symmetry_space_group_name_H-M 'P c c m'
_symmetry_Int_Tables_number 49
loop_
_symmetry_equiv_pos_as_xyz
'x,y,z'
'-x,-y,-z'
'-x,-y,z'
'x,y,-z'
'x,-y,-z+1/2'
'-x,y,z+1/2'
'-x,y,-z+1/2'
'x,-y,z+1/2'
loop_
_atom_site_label
_atom_site_fract_x
_atom_site_fract_y
_atom_site_fract_z
Ba1 0.0000 0.0000 0.2500
Sm1 0.5000 0.5000 0.2500
Be1 0.0000 0.5000 0.0000
N1 0.2360 0.3417 0.0000
# formation energy from raw total energies: -0.77 eV per atom
# total moment: 0.000 μB per atom
# final energy: -30.86 eV/f.u.


# GGA-PBE HoTcClO4, optimized geometry
data_HoTcClO4
_chemical_formula_sum 'Ho4 Tc4 Cl4 O16'
_cell_length_a 10.3202
_cell_length_b 7.1163
_cell_length_c 6.8591
_cell_angle_alpha 90.00
_cell_angle_beta 105.09
_cell_angle_gamma 90.00
_symmetry_space_group_name_H-M 'C 1 2/m 1'
_symmetry_Int_Tables_number 12
loop_
_symmetry_equiv_pos_as_xyz
'x,y,z'
'-x,-y,-z'
'-x,y,-z'
'x,-y,z'
'x+1/2,y+1/2,z'
'-x+1/2,-y+1/2,-z'
'-x+1/2,y+1/2,-z'
'x+1/2,-y+1/2,z'
loop_
_atom_site_label
_atom_site_fract_x
_atom_site_fract_y
_atom_site_fract_z
Ho1 0.2182 0.0000 0.0979
Tc1 0.1342 0.5000 0.2829
Cl1 0.0095 0.0000 0.7664
O1 0.0411 0.5000 0.7864
O2 0.2001 0.3168 0.1456
O3 0.2173 0.5000 0.5392
# formation energy from raw total energies: -2.07 eV per atom
# total moment: 0.144 μB per atom
# final energy: -51.12 eV/f.u.


# GGA-PBE TiSiHgW2, optimized geometry
data_TiSiHgW2
_chemical_formula_sum 'Ti1 Si1 Hg1 W2'
_cell_length_a 4.6023
_cell_length_b 4.6023
_cell_length_c 5.1512
_cell_angle_alpha 90.00
_cell_angle_beta 90.00
_cell_angle_gamma 90.00
_symmetry_space_group_name_H-M 'P 4/m m m'
_symmetry_Int_Tables_number 123
_symmetry_space_group_name_Hall '-P 4 2'
loop_
_atom_site_label
_atom_site_fract_x
_atom_site_fract_y
_atom_site_fract_z
Ti1 0.0000 0.0000 0.0000
Si1 0.5000 0.5000 0.5000
Hg1 0.0000 0.0000 0.5000
W1 0.0000 0.5000 0.0000
# formation energy from raw total energies: 1.97 eV per atom
# total moment: 0.000 μB per atom
# final energy: -29.70 eV/f.u.


# GGA-PBE La2Tb4Er5, optimized geometry
data_La2Tb4Er5
_chemical_formula_sum 'La2 Tb4 Er5'
_cell_length_a 3.5752
_cell_length_b 8.7477
_cell_length_c 11.8407
_cell_angle_alpha 75.69
_cell_angle_beta 81.33
_cell_angle_gamma 89.97
_symmetry_space_group_name_H-M 'P -1'
_symmetry_Int_Tables_number 2
loop_
_symmetry_equiv_pos_as_xyz
'x,y,z'
'-x,-y,-z'
loop_
_atom_site_label
_atom_site_fract_x
_atom_site_fract_y
_atom_site_fract_z
La1 0.0921 0.2303 0.3168
Tb1 0.1820 0.9533 0.1354
Tb2 0.4527 0.1411 0.5940
Er1 0.0000 0.5000 0.5000
Er2 0.2708 0.6805 0.9581
Er3 0.3630 0.4063 0.7745
# excess energy over the best structure of this formula in the dataset: 0.000 eV/atom
# energy of formation: 26 meV/atom
# total moment: 0.000 μB per atom
# final energy: -50.90 eV/f.u.


# GGA-PBE Ti2ZnIrCl, optimized geometry
data_Ti2ZnIrCl
_chemical_formula_sum 'Ti2 Zn1 Ir1 Cl1'
_cell_length_a 4.3477
_cell_length_b 4.3477
_cell_length_c 4.4822
_cell_angle_alpha 90.00
_cell_angle_beta 90.00
_cell_angle_gamma 90.00
_symmetry_space_group_name_H-M 'P 4/m m m'
_symmetry_Int_Tables_number 123
_symmetry_space_group_name_Hall '-P 4 2'
loop_
_atom_site_label
_atom_site_fract_x
_atom_site_fract_y
_atom_site_fract_z
Ti1 0.0000 0.5000 0.0000
Zn1 0.0000 0.0000 0.5000
Ir1 0.5000 0.5000 0.5000
Cl1 0.0000 0.0000 0.0000
# formation energy from raw total energies: 0.37 eV per atom
# total moment: 0.000 μB per atom
# final energy: -25.92 eV/f.u.


# GGA-PBE TiPdW2Br, optimized geometry
data_TiPdW2Br
_chemical_formula_sum 'Ti1 Pd1 W2 Br1'
_cell_length_a 4.6373
_cell_length_b 4.6373
_cell_length_c 4.8344
_cell_angle_alpha 90.00
_cell_angle_beta 90.00
_cell_angle_gamma 90.00
_symmetry_space_group_name_H-M 'P 4/m m m'
_symmetry_Int_Tables_number 123
_symmetry_space_group_name_Hall '-P 4 2'
loop_
_atom_site_label
_atom_site_fract_x
_atom_site_fract_y
_atom_site_fract_z
Ti1 0.0000 0.0000 0.0000
Pd1 0.5000 0.5000 0.5000
W1 0.0000 0.5000 0.0000
Br1 0.0000 0.0000 0.5000
# formation energy from raw total energies: 1.83 eV per atom
# total moment: 0.000 μB per atom
# final energy: -31.49 eV/f.u.


# GGA-PBE InBH3, optimized geometry
data_InBH3
_chemical_formula_sum 'In2 B2 H6'
_cell_length_a 4.5155
_cell_length_b 5.3297
_cell_length_c 5.3504
_cell_angle_alpha 75.31
_cell_angle_beta 87.86
_cell_angle_gamma 89.24
_symmetry_space_group_name_H-M 'P -1'
_symmetry_Int_Tables_number 2
loop_
_symmetry_equiv_pos_as_xyz
'x,y,z'
'-x,-y,-z'
loop_
_atom_site_label
_atom_site_fract_x
_atom_site_fract_y
_atom_site_fract_z
In1 0.1597 0.2308 0.2555
B1 0.1795 0.2477 0.7613
H1 0.0905 0.7512 0.2250
H2 0.3140 0.0452 0.8412
H3 0.3136 0.4443 0.6575
# excess energy over the best structure of this formula in the dataset: 0.000 eV/atom
# total moment: 0.000 μB per atom
# final energy: -18.81 eV/f.u.


# GGA-PBE CaZnRu2, optimized geometry
data_CaZnRu2
_chemical_formula_sum 'Ca2 Zn2 Ru4'
_cell_length_a 3.9832
_cell_length_b 3.9832
_cell_length_c 8.6002
_cell_angle_alpha 90.00
_cell_angle_beta 90.00
_cell_angle_gamma 90.00
_symmetry_space_group_name_H-M 'I 4/m m m'
_symmetry_Int_Tables_number 139
_symmetry_space_group_name_Hall '-I 4 2'
loop_
_atom_site_label
_atom_site_fract_x
_atom_site_fract_y
_atom_site_fract_z
Ca1 0.0000 0.0000 0.0000
Zn1 0.0000 0.0000 0.5000
Ru1 0.0000 0.5000 0.2500
# energy of formation: 400 meV/atom
# total moment: 0.534 μB per atom
# final energy: -20.23 eV/f.u.